The following is a DFT calculation (GGA-PBE) of an optimized crystal structure of Mg3AuSe.

Summary:
Energy relative to the lowest polymorph listed for this composition, meV per atom: 0.0

The structure in CIF format:
```
data_Mg3AuSe
_chemical_formula_sum 'Mg3 Au1 Se1'
_symmetry_space_group_name_H-M 'P m -3 m'
_symmetry_Int_Tables_number 221
_symmetry_space_group_name_Hall '-P 4 2 3'
_cell_length_a 5.0748
_cell_length_b 5.0748
_cell_length_c 5.0748
_cell_angle_alpha 90.00
_cell_angle_beta 90.00
_cell_angle_gamma 90.00
loop_
_atom_site_label
_atom_site_type_symbol
_atom_site_fract_x
_atom_site_fract_y
_atom_site_fract_z
_atom_site_occupancy
Mg1 Mg 0.0000 0.0000 0.5000 1
Au1 Au 0.0000 0.0000 0.0000 1
Se1 Se 0.5000 0.5000 0.5000 1
```

The following is a DFT calculation (GGA-PBE) of an optimized crystal structure of MgAuSe2.

The structure in CIF format:
```
data_MgAuSe2
_chemical_formula_sum 'Mg4 Au4 Se8'
_symmetry_space_group_name_H-M 'F -4 3 m'
_symmetry_Int_Tables_number 216
_symmetry_space_group_name_Hall 'F -4 2 3'
_cell_length_a 6.8544
_cell_length_b 6.8544
_cell_length_c 6.8544
_cell_angle_alpha 90.00
_cell_angle_beta 90.00
_cell_angle_gamma 90.00
loop_
_atom_site_label
_atom_site_type_symbol
_atom_site_fract_x
_atom_site_fract_y
_atom_site_fract_z
_atom_site_occupancy
Mg1 Mg 0.0000 0.0000 0.0000 1
Au1 Au 0.2500 0.2500 0.2500 1
Se1 Se 0.0000 0.0000 0.5000 1
Se2 Se 0.2500 0.2500 0.7500 1
```

The following is a DFT calculation (GGA-PBE) of an optimized crystal structure of MgAuSe.

Summary:
Energy relative to the lowest polymorph listed for this composition, meV per atom: 0.0

The structure in CIF format:
```
data_MgAuSe
_chemical_formula_sum 'Mg4 Au4 Se4'
_symmetry_space_group_name_H-M 'C 1 2/m 1'
_symmetry_Int_Tables_number 12
_symmetry_space_group_name_Hall '-C 2y'
_cell_length_a 12.7015
_cell_length_b 4.2656
_cell_length_c 6.5986
_cell_angle_alpha 90.00
_cell_angle_beta 114.62
_cell_angle_gamma 90.00
loop_
_atom_site_label
_atom_site_type_symbol
_atom_site_fract_x
_atom_site_fract_y
_atom_site_fract_z
_atom_site_occupancy
Mg1 Mg 0.1983 0.0000 0.2597 1
Au1 Au 0.0410 0.0000 0.8452 1
Se1 Se 0.1741 0.0000 0.6459 1
```

The following is a DFT calculation (GGA-PBE) of an optimized crystal structure of MgAuSe2.

The structure in CIF format:
```
data_MgAuSe2
_chemical_formula_sum 'Mg1 Au1 Se2'
_symmetry_space_group_name_H-M 'P m m m'
_symmetry_Int_Tables_number 47
_symmetry_space_group_name_Hall '-P 2 2'
_cell_length_a 3.6815
_cell_length_b 3.7481
_cell_length_c 7.2208
_cell_angle_alpha 90.00
_cell_angle_beta 90.00
_cell_angle_gamma 90.00
loop_
_atom_site_label
_atom_site_type_symbol
_atom_site_fract_x
_atom_site_fract_y
_atom_site_fract_z
_atom_site_occupancy
Mg1 Mg 0.0000 0.0000 0.0000 1
Au1 Au 0.0000 0.5000 0.5000 1
Se1 Se 0.5000 0.0000 0.5000 1
Se2 Se 0.5000 0.5000 0.0000 1
```

The following is a DFT calculation (GGA-PBE) of an optimized crystal structure of Mg3AuSe.

Summary:
Energy relative to the lowest polymorph listed for this composition, meV per atom: 142.3

The structure in CIF format:
```
data_Mg3AuSe
_chemical_formula_sum 'Mg3 Au1 Se1'
_symmetry_space_group_name_H-M 'P m -3 m'
_symmetry_Int_Tables_number 221
_symmetry_space_group_name_Hall '-P 4 2 3'
_cell_length_a 4.9424
_cell_length_b 4.9424
_cell_length_c 4.9424
_cell_angle_alpha 90.00
_cell_angle_beta 90.00
_cell_angle_gamma 90.00
loop_
_atom_site_label
_atom_site_type_symbol
_atom_site_fract_x
_atom_site_fract_y
_atom_site_fract_z
_atom_site_occupancy
Mg1 Mg 0.0000 0.0000 0.5000 1
Au1 Au 0.5000 0.5000 0.5000 1
Se1 Se 0.0000 0.0000 0.0000 1
```

The following is a DFT calculation (GGA-PBE) of an optimized crystal structure of MgAu2Se.

Summary:
Energy relative to the lowest polymorph listed for this composition, meV per atom: 34.0

The structure in CIF format:
```
data_MgAu2Se
_chemical_formula_sum 'Mg2 Au4 Se2'
_symmetry_space_group_name_H-M 'C 1 2/m 1'
_symmetry_Int_Tables_number 12
_symmetry_space_group_name_Hall '-C 2y'
_cell_length_a 10.7442
_cell_length_b 3.8146
_cell_length_c 3.9570
_cell_angle_alpha 90.00
_cell_angle_beta 90.31
_cell_angle_gamma 90.00
loop_
_atom_site_label
_atom_site_type_symbol
_atom_site_fract_x
_atom_site_fract_y
_atom_site_fract_z
_atom_site_occupancy
Mg1 Mg 0.0000 0.0000 0.0000 1
Au1 Au 0.2384 0.5000 0.2453 1
Se1 Se 0.0000 0.5000 0.5000 1
```

Number 1: formation energy (no corrections) -0.207 eV/atom, density 4.4 g cm⁻³, calculated volume 26.14 Å³ per atom. Number 2: formation energy (no corrections) 0.004 eV/atom, density 7.8 g cm⁻³, calculated volume 20.13 Å³ per atom. Number 3: formation energy (no corrections) -0.612 eV/atom, density 6.1 g cm⁻³, calculated volume 27.08 Å³ per atom. Number 4: formation energy (no corrections) -0.328 eV/atom, density 6.3 g cm⁻³, calculated volume 24.91 Å³ per atom. Number 5: formation energy (no corrections) -0.065 eV/atom, density 4.8 g cm⁻³, calculated volume 24.15 Å³ per atom. Number 6: formation energy (no corrections) -0.365 eV/atom, density 10.2 g cm⁻³, calculated volume 20.27 Å³ per atom.